Li2MoP | PBE | relaxed

The space group is Cm (No. 8) and the conventional cell measures 8.272, 2.638 and 5.218 Å, with angles of 90.00, 95.66 and 90.00 degrees. The inequivalent atoms are Li at (0.000, 0.000, 0.000), Li at (0.243, 0.000, 0.799), Mo at (0.482, 0.000, 0.470) and P at (0.236, 0.500, 0.274).

The calculation puts the density at 4.13 g/cm3. Its uncorrected energy is -5.013 eV/atom.